Computed, not measured: a relaxed structure of LaIrS2O at the PBE level of DFT.

Cell: 6.2145 6.2145 7.7131 Å, 91.41 91.41 35.49°
Last column: nearest neighbours and their distance in Å.
Fractional coordinates of all 10 atoms:
Ir 0.0000 0.0000 0.0000  2 O 2.08
Ir 0.5000 0.5000 0.5000  6 S 2.42-2.44
La 0.2750 0.2750 0.2104  3 O 2.32-2.40
La 0.7250 0.7250 0.7896  3 O 2.32-2.40
O 0.8295 0.8295 0.0598  1 Ir 2.08, 2 La 2.32
O 0.1705 0.1705 0.9402  1 Ir 2.08, 2 La 2.32
S 0.5443 0.5443 0.1923  3 Ir 2.44-2.45
S 0.8725 0.8725 0.4852  2 Ir 2.42
S 0.1275 0.1275 0.5148  2 Ir 2.42
S 0.4557 0.4557 0.8077  3 Ir 2.44-2.45

Computed properties:
- Calculated total energy: -7.057 eV/atom
- Total magnetization: 0.00 μB per formula unit